{
  "formula": "K2NdOs3O12",
  "functional": "PBE-GGA",
  "state": "optimized geometry",
  "density_g_cm3": 6.4,
  "raw_formation_energy_ev_per_atom": -1.4414,
  "e_tot_ev_per_atom": -7.005,
  "dos_ef_per_ev_fu": 9.6,
  "vol_a3_per_cell": 254,
  "space_group": "R-3m (166)",
  "lattice_angstrom": [[6.7905, -0.3654, -0.2591], [3.0358, 6.0851, -0.2591], [3.0358, 1.7671, 5.8286]],
  "species": ["O", "O", "K", "K", "O", "O", "O", "O", "O", "Nd", "O", "Os", "O", "O", "Os", "Os", "O", "O"],
  "fractional_positions": [[0.1032, 0.7267, 0.7267], [0.4243, 0.8666, 0.8666], [0.6028, 0.6028, 0.6028], [0.3972, 0.3972, 0.3972], [0.2733, 0.8968, 0.2733], [0.1334, 0.5757, 0.1334], [0.8666, 0.8666, 0.4243], [0.7267, 0.1032, 0.7267], [0.5757, 0.1334, 0.1334], [0.0000, 0.0000, 0.0000], [0.7267, 0.7267, 0.1032], [0.5000, 0.0000, 0.0000], [0.8968, 0.2733, 0.2733], [0.2733, 0.2733, 0.8968], [0.0000, 0.5000, 0.0000], [0.0000, 0.0000, 0.5000], [0.1334, 0.1334, 0.5757], [0.8666, 0.4243, 0.8666]]
}

---

{
  "formula": "K2Nd2OsO6",
  "functional": "PBE-GGA",
  "state": "optimized geometry",
  "density_g_cm3": 5.5,
  "raw_formation_energy_ev_per_atom": -2.0469,
  "e_tot_ev_per_atom": -6.839,
  "dos_ef_per_ev_fu": 4.2,
  "vol_a3_per_cell": 198,
  "space_group": "C2/m (12)",
  "lattice_angstrom": [[-0.6669, -5.9292, -0.3214], [2.0452, 3.0104, -4.7390], [5.6149, 0.0225, 3.4928]],
  "species": ["Os", "K", "O", "O", "O", "Nd", "K", "Nd", "O", "O", "O"],
  "fractional_positions": [[0.0000, 0.0000, 0.5000], [0.1529, 0.8471, 0.0000], [0.2445, 0.2445, 0.3185], [0.6586, 0.9598, 0.3300], [0.9598, 0.6586, 0.3300], [0.6625, 0.3375, 0.5000], [0.8471, 0.1529, 0.0000], [0.3375, 0.6625, 0.5000], [0.0402, 0.3414, 0.6700], [0.7555, 0.7555, 0.6815], [0.3414, 0.0402, 0.6700]]
}

---

{
  "formula": "KNdP4O12",
  "functional": "PBE-GGA",
  "state": "optimized geometry",
  "density_g_cm3": 3.2,
  "raw_formation_energy_ev_per_atom": -2.4501,
  "e_tot_ev_per_atom": -7.284,
  "dos_ef_per_ev_fu": 0.0,
  "vol_a3_per_cell": 516,
  "space_group": "P2_1 (4)",
  "lattice_angstrom": [[-2.9361, -8.0670, 0.1482], [4.9317, -1.6982, 5.2696], [-5.2156, 2.0062, 5.8754]],
  "species": ["O", "O", "O", "Nd", "O", "K", "P", "P", "O", "Nd", "K", "P", "O", "O", "O", "O", "O", "O", "O", "P", "O", "O", "O", "O", "O", "O", "O", "P", "O", "P", "O", "P", "O", "P", "O", "O"],
  "fractional_positions": [[0.7043, 0.9704, 0.9323], [0.0180, 0.6821, 0.0737], [0.9392, 0.3926, 0.5679], [0.2501, 0.7629, 0.2420], [0.2910, 0.9908, 0.7789], [0.9361, 0.7315, 0.7172], [0.9993, 0.3823, 0.3950], [0.6725, 0.8998, 0.1048], [0.5025, 0.1618, 0.6148], [0.7501, 0.2371, 0.7580], [0.4361, 0.2685, 0.2828], [0.3750, 0.4320, 0.9042], [0.8427, 0.4400, 0.9600], [0.2043, 0.0296, 0.0677], [0.0117, 0.0880, 0.8249], [0.2221, 0.3091, 0.8783], [0.7910, 0.0092, 0.2211], [0.8651, 0.4598, 0.2712], [0.5093, 0.8252, 0.6583], [0.8750, 0.5680, 0.0958], [0.4392, 0.6074, 0.4321], [0.3034, 0.9685, 0.4666], [0.6527, 0.5329, 0.6490], [0.5180, 0.3179, 0.9263], [0.0025, 0.8382, 0.3852], [0.5117, 0.9120, 0.1751], [0.0093, 0.1748, 0.3417], [0.1725, 0.1002, 0.8952], [0.1527, 0.4671, 0.3510], [0.4993, 0.6177, 0.6050], [0.3651, 0.5402, 0.7288], [0.9001, 0.0024, 0.3820], [0.8034, 0.0315, 0.5334], [0.4001, 0.9976, 0.6180], [0.7221, 0.6909, 0.1217], [0.3427, 0.5600, 0.0400]]
}

---

{
  "formula": "K2NdP5O15",
  "functional": "PBE-GGA",
  "state": "optimized geometry",
  "density_g_cm3": 3.0,
  "raw_formation_energy_ev_per_atom": -2.4052,
  "e_tot_ev_per_atom": -7.118,
  "dos_ef_per_ev_fu": 0.0,
  "vol_a3_per_cell": 673,
  "space_group": "Cc (9)",
  "lattice_angstrom": [[7.2604, -0.0077, 0.0010], [-2.2631, 6.8987, 0.0010], [0.0963, 0.1328, 13.4364]],
  "species": ["O", "O", "O", "O", "O", "O", "O", "P", "O", "O", "O", "O", "O", "O", "P", "O", "O", "P", "O", "Nd", "O", "P", "O", "O", "O", "O", "P", "O", "P", "O", "P", "O", "K", "O", "Nd", "K", "P", "O", "K", "K", "P", "O", "O", "O", "O", "P"],
  "fractional_positions": [[0.8935, 0.4382, 0.7109], [0.1538, 0.4650, 0.0415], [0.3379, 0.0648, 0.3710], [0.4650, 0.1538, 0.5415], [0.6286, 0.8288, 0.0598], [0.4293, 0.5484, 0.1659], [0.5249, 0.4213, 0.4065], [0.0047, 0.6066, 0.4893], [0.0782, 0.8794, 0.0660], [0.4213, 0.5249, 0.9065], [0.0861, 0.5645, 0.2108], [0.7153, 0.9924, 0.8958], [0.9145, 0.0786, 0.3745], [0.3798, 0.9134, 0.9613], [0.1829, 0.9676, 0.9716], [0.9134, 0.3798, 0.4613], [0.0786, 0.9145, 0.8745], [0.2338, 0.3874, 0.9413], [0.1903, 0.6534, 0.5449], [0.0946, 0.9059, 0.2502], [0.7386, 0.7737, 0.2293], [0.6066, 0.0047, 0.9893], [0.2715, 0.1969, 0.9844], [0.2406, 0.1568, 0.6905], [0.4382, 0.8935, 0.2109], [0.1568, 0.2406, 0.1905], [0.4475, 0.1948, 0.6586], [0.1969, 0.2715, 0.4844], [0.7751, 0.5603, 0.6734], [0.8794, 0.0782, 0.5660], [0.1948, 0.4475, 0.1586], [0.6534, 0.1903, 0.0449], [0.5607, 0.7906, 0.4426], [0.5645, 0.0861, 0.7108], [0.9059, 0.0946, 0.7502], [0.7906, 0.5607, 0.9426], [0.5603, 0.7751, 0.1734], [0.0648, 0.3379, 0.8710], [0.3132, 0.6994, 0.7448], [0.6994, 0.3132, 0.2448], [0.3874, 0.2338, 0.4413], [0.7737, 0.7386, 0.7293], [0.5484, 0.4293, 0.6659], [0.8288, 0.6286, 0.5598], [0.9924, 0.7153, 0.3958], [0.9676, 0.1829, 0.4716]]
}

---

{
  "formula": "KNdP2O8",
  "functional": "PBE-GGA",
  "state": "optimized geometry",
  "density_g_cm3": 3.6,
  "raw_formation_energy_ev_per_atom": -2.2191,
  "e_tot_ev_per_atom": -6.915,
  "dos_ef_per_ev_fu": 8.8,
  "vol_a3_per_cell": 174,
  "space_group": "I-4m2 (119)",
  "lattice_angstrom": [[6.1099, -0.0017, 0.0000], [-2.7114, 5.4753, 0.0000], [-1.6992, -2.7368, 5.1917]],
  "species": ["O", "P", "O", "O", "K", "O", "O", "O", "P", "O", "O", "Nd"],
  "fractional_positions": [[0.4395, 0.1147, 0.3248], [0.5000, 0.5000, 0.0000], [0.8147, 0.6509, 0.1638], [0.3491, 0.5128, 0.1638], [0.2500, 0.7500, 0.5000], [0.8853, 0.2101, 0.3248], [0.8853, 0.5605, 0.6752], [0.7899, 0.1147, 0.6752], [0.7500, 0.2500, 0.5000], [0.3491, 0.1853, 0.8362], [0.4872, 0.6509, 0.8362], [0.0000, 0.0000, 0.0000]]
}

---

{
  "formula": "KNdP4O12",
  "functional": "PBE-GGA",
  "state": "optimized geometry",
  "density_g_cm3": 3.2,
  "raw_formation_energy_ev_per_atom": -2.4499,
  "e_tot_ev_per_atom": -7.283,
  "dos_ef_per_ev_fu": 0.0,
  "vol_a3_per_cell": 521,
  "space_group": "C2/c (15)",
  "lattice_angstrom": [[-1.0508, 2.3032, 7.1285], [0.9001, -7.4543, -0.9208], [9.8963, -1.3610, 4.0483]],
  "species": ["O", "O", "Nd", "K", "O", "O", "O", "O", "P", "O", "O", "O", "O", "O", "P", "O", "O", "P", "O", "P", "P", "O", "O", "P", "O", "Nd", "O", "P", "P", "O", "O", "K", "O", "O", "O", "O"],
  "fractional_positions": [[0.7184, 0.4667, 0.5649], [0.5333, 0.2816, 0.9351], [0.1212, 0.8788, 0.7500], [0.8106, 0.1894, 0.7500], [0.8289, 0.7607, 0.6573], [0.3035, 0.8000, 0.8970], [0.6480, 0.5100, 0.0845], [0.8594, 0.8250, 0.4066], [0.6947, 0.7475, 0.0490], [0.5104, 0.9053, 0.3884], [0.9053, 0.5104, 0.8884], [0.4896, 0.0947, 0.6116], [0.1406, 0.1750, 0.5934], [0.8000, 0.3035, 0.3970], [0.2871, 0.6214, 0.9965], [0.1711, 0.2393, 0.3427], [0.2393, 0.1711, 0.8427], [0.7475, 0.6947, 0.5490], [0.6965, 0.2000, 0.1030], [0.7129, 0.3786, 0.0035], [0.3786, 0.7129, 0.5035], [0.0947, 0.4896, 0.1116], [0.3520, 0.4900, 0.9155], [0.2525, 0.3053, 0.4510], [0.5100, 0.6480, 0.5845], [0.8788, 0.1212, 0.2500], [0.2000, 0.6965, 0.6030], [0.6214, 0.2871, 0.4965], [0.3053, 0.2525, 0.9510], [0.7607, 0.8289, 0.1573], [0.4667, 0.7184, 0.0649], [0.1894, 0.8106, 0.2500], [0.8250, 0.8594, 0.9066], [0.1750, 0.1406, 0.0934], [0.4900, 0.3520, 0.4155], [0.2816, 0.5333, 0.4351]]
}

---

{
  "formula": "K2NdPaO5",
  "functional": "PBE-GGA",
  "state": "optimized geometry",
  "density_g_cm3": 5.4,
  "raw_formation_energy_ev_per_atom": -2.6555,
  "e_tot_ev_per_atom": -7.239,
  "dos_ef_per_ev_fu": 0.0,
  "vol_a3_per_cell": 164,
  "space_group": "P4/mmm (123)",
  "lattice_angstrom": [[4.2601, 0.0000, 0.0000], [0.0000, 4.2601, 0.0000], [0.0000, 0.0000, 9.0464]],
  "species": ["O", "Nd", "O", "K", "O", "O", "O", "Pa", "K"],
  "fractional_positions": [[0.0000, 0.5000, 0.5000], [0.0000, 0.0000, 0.0000], [0.0000, 0.0000, 0.2525], [0.5000, 0.5000, 0.7189], [0.5000, 0.0000, 0.5000], [0.5000, 0.5000, 0.0000], [0.0000, 0.0000, 0.7475], [0.0000, 0.0000, 0.5000], [0.5000, 0.5000, 0.2811]]
}

---

{
  "formula": "KNdPbO3",
  "functional": "PBE-GGA",
  "state": "optimized geometry",
  "density_g_cm3": 5.5,
  "raw_formation_energy_ev_per_atom": -2.0914,
  "e_tot_ev_per_atom": -6.166,
  "dos_ef_per_ev_fu": 0.0,
  "vol_a3_per_cell": 264,
  "space_group": "P2_1/m (11)",
  "lattice_angstrom": [[3.6399, 0.0000, 0.0000], [0.0000, 7.1087, 2.0877], [0.0000, -0.6393, 10.0160]],
  "species": ["O", "Nd", "Pb", "K", "O", "Pb", "O", "O", "Nd", "O", "O", "K"],
  "fractional_positions": [[0.7500, 0.4634, 0.6153], [0.7500, 0.4337, 0.8626], [0.7500, 0.7135, 0.4099], [0.7500, 0.9241, 0.8592], [0.2500, 0.6322, 0.8956], [0.2500, 0.2865, 0.5901], [0.2500, 0.5366, 0.3847], [0.7500, 0.7748, 0.1611], [0.2500, 0.5663, 0.1374], [0.2500, 0.2252, 0.8389], [0.7500, 0.3678, 0.1044], [0.2500, 0.0759, 0.1408]]
}

---

{
  "formula": "KNd2PbO5",
  "functional": "PBE-GGA",
  "state": "optimized geometry",
  "density_g_cm3": 6.6,
  "raw_formation_energy_ev_per_atom": -2.1943,
  "e_tot_ev_per_atom": -6.542,
  "dos_ef_per_ev_fu": 1.6,
  "vol_a3_per_cell": 307,
  "space_group": "I4/mcm (140)",
  "lattice_angstrom": [[-5.3255, 0.1278, -4.4282], [-4.4197, -0.6241, 5.2973], [4.5943, 6.6204, 0.0840]],
  "species": ["O", "K", "O", "Nd", "O", "O", "Pb", "O", "O", "O", "Nd", "O", "Nd", "O", "O", "Nd", "Pb", "K"],
  "fractional_positions": [[0.0277, 0.5277, 0.7653], [0.7500, 0.7500, 0.5000], [0.7624, 0.9723, 0.2347], [0.6770, 0.1770, 0.0000], [0.7376, 0.2376, 0.7653], [0.4723, 0.2624, 0.2347], [0.2500, 0.7500, 0.5000], [0.9723, 0.4723, 0.2347], [0.2624, 0.7624, 0.2347], [0.5277, 0.7376, 0.7653], [0.3230, 0.8230, 0.0000], [0.0000, 0.0000, 0.0000], [0.8230, 0.6770, 0.0000], [0.5000, 0.5000, 0.0000], [0.2376, 0.0277, 0.7653], [0.1770, 0.3230, 0.0000], [0.7500, 0.2500, 0.5000], [0.2500, 0.2500, 0.5000]]
}

---

{
  "formula": "K3Nd2PdO6",
  "functional": "PBE-GGA",
  "state": "optimized geometry",
  "density_g_cm3": 5.0,
  "raw_formation_energy_ev_per_atom": -1.9272,
  "e_tot_ev_per_atom": -5.908,
  "vol_a3_per_cell": 201,
  "space_group": "C2/m (12)",
  "lattice_angstrom": [[6.1034, -0.0263, 0.0170], [-3.0730, 5.2734, 0.0170], [-0.9932, -1.7198, 6.2602]],
  "species": ["O", "Pd", "K", "O", "O", "O", "O", "Nd", "K", "K", "Nd", "O"],
  "fractional_positions": [[0.7581, 0.7581, 0.1762], [0.0000, 0.0000, 0.0000], [0.1585, 0.8415, 0.5000], [0.6028, 0.9332, 0.7979], [0.9332, 0.6028, 0.7979], [0.3972, 0.0668, 0.2021], [0.2419, 0.2419, 0.8238], [0.3304, 0.6696, 0.0000], [0.8415, 0.1585, 0.5000], [0.5000, 0.5000, 0.5000], [0.6696, 0.3304, 0.0000], [0.0668, 0.3972, 0.2021]]
}

---

{
  "formula": "KNd2PdO5",
  "functional": "PBE-GGA",
  "state": "optimized geometry",
  "density_g_cm3": 6.0,
  "raw_formation_energy_ev_per_atom": -2.0728,
  "e_tot_ev_per_atom": -6.586,
  "dos_ef_per_ev_fu": 5.1,
  "vol_a3_per_cell": 283,
  "space_group": "I4/mcm (140)",
  "lattice_angstrom": [[6.8227, 0.0000, 0.0000], [0.0000, 6.8227, 0.0000], [-3.4113, -3.4113, 6.0733]],
  "species": ["Pd", "O", "O", "O", "O", "O", "O", "Nd", "K", "O", "Nd", "O", "O", "O", "Nd", "Pd", "Nd", "K"],
  "fractional_positions": [[0.7500, 0.2500, 0.5000], [0.0000, 0.0000, 0.0000], [0.0120, 0.5120, 0.7619], [0.9880, 0.4880, 0.2381], [0.5120, 0.7499, 0.7619], [0.4880, 0.2501, 0.2381], [0.2501, 0.7501, 0.2381], [0.1752, 0.3248, 0.0000], [0.7500, 0.7500, 0.5000], [0.7501, 0.9880, 0.2381], [0.6752, 0.1752, 0.0000], [0.7499, 0.2499, 0.7619], [0.5000, 0.5000, 0.0000], [0.2499, 0.0120, 0.7619], [0.3248, 0.8248, 0.0000], [0.2500, 0.7500, 0.5000], [0.8248, 0.6752, 0.0000], [0.2500, 0.2500, 0.5000]]
}

---

{
  "formula": "KNd2PdO4",
  "functional": "PBE-GGA",
  "state": "optimized geometry",
  "density_g_cm3": 6.0,
  "raw_formation_energy_ev_per_atom": -2.1771,
  "e_tot_ev_per_atom": -6.634,
  "dos_ef_per_ev_fu": 2.8,
  "vol_a3_per_cell": 275,
  "space_group": "Cmcm (63)",
  "lattice_angstrom": [[3.5425, 0.0000, 0.0000], [-1.7712, 6.1050, 0.0000], [0.0000, 0.0000, 12.7261]],
  "species": ["O", "Nd", "K", "Nd", "O", "O", "O", "Pd", "O", "Pd", "Nd", "Nd", "K", "O", "O", "O"],
  "fractional_positions": [[0.0000, 0.0000, 0.0000], [0.6323, 0.2647, 0.4423], [0.1092, 0.2185, 0.7500], [0.6323, 0.2647, 0.0577], [0.7413, 0.4826, 0.9063], [0.2587, 0.5174, 0.4063], [0.4407, 0.8813, 0.7500], [0.8435, 0.6869, 0.7500], [0.5593, 0.1187, 0.2500], [0.1565, 0.3131, 0.2500], [0.3677, 0.7353, 0.5577], [0.3677, 0.7353, 0.9423], [0.8908, 0.7815, 0.2500], [0.2587, 0.5174, 0.0937], [0.0000, 0.0000, 0.5000], [0.7413, 0.4826, 0.5937]]
}